# K4La3MnO8 PBE with a Hubbard U optimized geometry
data_K4La3MnO8
_cell_length_a 12.942
_cell_length_b 7.041
_cell_length_c 7.412
_cell_angle_alpha 90.00
_cell_angle_beta 121.34
_cell_angle_gamma 90.00
_space_group_name_H-M_alt 'C 1 2/m 1'
_space_group_IT_number 12
loop_
_space_group_symop_operation_xyz
'x,y,z'
'-x,-y,-z'
'-x,y,-z'
'x,-y,z'
'x+1/2,y+1/2,z'
'-x+1/2,-y+1/2,-z'
'-x+1/2,y+1/2,-z'
'x+1/2,-y+1/2,z'
loop_
_atom_site_label
_atom_site_type_symbol
_atom_site_fract_x
_atom_site_fract_y
_atom_site_fract_z
K1 K 0.000 0.000 0.000
K2 K 0.000 0.500 0.000
K3 K 0.250 0.250 0.000
La1 La 0.000 0.000 0.500
La2 La 0.250 0.250 0.500
Mn1 Mn 0.000 0.500 0.500
O1 O 0.023 0.293 0.338
O2 O 0.219 0.000 0.692
O3 O 0.227 0.000 0.267
# Spin magnetization   4.078 Bohr magnetons per cell
# Uncorrected energy   -6.37 eV/atom